Material: YSc2NbV
Method: DFT, PBE
State: optimized geometry

Cell: 4.8231 5.0972 4.8231 Å, 90.00 90.00 90.00°
With the nearest neighbours (Å) after each atom.
Fractional coordinates of all 5 atoms:
Y1 0.0000 0.5000 0.0000  2 V 2.55
Sc1 0.5000 0.0000 0.0000  2 V 2.41
Sc2 0.0000 0.0000 0.5000  2 V 2.41
V1 0.0000 0.0000 0.0000  4 Sc 2.41, 2 Y 2.55
Nb1 0.5000 0.5000 0.5000  4 Y 3.41, 8 Sc 3.51

**Magnetic moment**: 0.0 μB/f.u.
**Raw total energy**: -6.734 eV per atom
**E_form**: 0.9295 eV per atom
**Crystal system**: tetragonal


Material: AgAsS3
Method: DFT, PBE
State: optimized geometry

Cell: 12.0048 6.4828 7.3301 Å, 90.00 90.00 90.00°
With the nearest neighbours (Å) after each atom.
Fractional coordinates of all 20 atoms:
S1 0.4204 0.5636 0.4998  1 S 2.08, 1 As 2.31
S2 0.9204 0.9364 0.0002  1 S 2.08, 1 As 2.31
S3 0.5796 0.4364 0.5002  1 S 2.08, 1 As 2.31
S4 0.9204 0.9364 0.4998  1 S 2.08, 1 As 2.31
S5 0.8748 0.4086 0.7500  1 As 2.25, 2 Ag 2.44
S6 0.6252 0.9086 0.2500  1 As 2.25, 2 Ag 2.44
S7 0.5796 0.4364 0.9998  1 S 2.08, 1 As 2.31
S8 0.0796 0.0636 0.5002  1 S 2.08, 1 As 2.31
S9 0.0796 0.0636 0.9998  1 S 2.08, 1 As 2.31
S10 0.1252 0.5914 0.2500  1 As 2.25, 2 Ag 2.44
S11 0.3748 0.0914 0.7500  1 As 2.25, 2 Ag 2.44
S12 0.4204 0.5636 0.0002  1 S 2.08, 1 As 2.31
As1 0.6702 0.5722 0.2500  3 S 2.25-2.31
As2 0.1702 0.9278 0.2500  3 S 2.25-2.31
As3 0.8298 0.0722 0.7500  3 S 2.25-2.31
As4 0.3298 0.4278 0.7500  3 S 2.25-2.31
Ag1 0.0000 0.5000 0.5000  2 S 2.44
Ag2 0.0000 0.5000 0.0000  2 S 2.44
Ag3 0.5000 0.0000 0.0000  2 S 2.44
Ag4 0.5000 0.0000 0.5000  2 S 2.44

**Formation energy without anion corrections**: 0.00 eV/atom
**Magnetic moment**: 0.0 μB/f.u.
**Raw total energy**: -3.972 eV per atom
**Crystal system**: orthorhombic


Material: Tb2Tm4Th
Method: DFT, PBE
State: optimized geometry

Cell: 3.5642 3.5636 19.9272 Å, 95.15 90.00 120.01°
With the nearest neighbours (Å) after each atom.
Fractional coordinates of all 7 atoms:
Tm1 0.9050 0.8100 0.9524  9 Tm 3.45-3.56, 3 Tb 3.49
Tm2 0.4286 0.8571 0.5229  3 Tb 3.50-3.51, 3 Th 3.53-3.54, 6 Tm 3.56
Tm3 0.0003 0.0005 0.2373  6 Tb 3.49-3.50, 6 Tm 3.56
Tm4 0.5247 0.0493 0.8128  9 Tm 3.45-3.56, 3 Th 3.53
Tb1 0.6192 0.2384 0.0949  6 Tm 3.49, 6 Tb 3.56
Tb2 0.7139 0.4278 0.3797  6 Tm 3.49-3.51, 6 Tb 3.56
Th1 0.8098 0.6196 0.6680  6 Tm 3.53-3.54, 6 Th 3.56

**Magnetic moment**: 0.0 μB/f.u.
**Excess energy over the best structure of this formula in the dataset**: 0 meV/atom
**Raw total energy**: -4.920 eV per atom
**E_form**: 0.0179 eV per atom
**Crystal system**: trigonal


Material: Zn6SiNi12
Method: DFT, PBE
State: optimized geometry

Cell: 6.1367 6.1367 6.1367 Å, 92.53 92.53 92.53°
With the nearest neighbours (Å) after each atom.
Fractional coordinates of all 19 atoms:
Ni1 0.5430 0.2105 0.4578  4 Zn 2.39-2.56, 5 Ni 2.41-2.65
Ni2 0.7895 0.5422 0.4570  4 Zn 2.39-2.56, 5 Ni 2.41-2.65
Ni3 0.3593 0.0393 0.1351  1 Si 2.32, 4 Ni 2.41-2.52, 4 Zn 2.51-2.59
Ni4 0.4578 0.5430 0.2105  4 Zn 2.39-2.56, 5 Ni 2.41-2.65
Ni5 0.6407 0.9607 0.8649  1 Si 2.32, 4 Ni 2.41-2.52, 4 Zn 2.51-2.59
Ni6 0.1351 0.3593 0.0393  1 Si 2.32, 4 Ni 2.41-2.52, 4 Zn 2.51-2.59
Ni7 0.4570 0.7895 0.5422  4 Zn 2.39-2.56, 5 Ni 2.41-2.65
Ni8 0.2105 0.4578 0.5430  4 Zn 2.39-2.56, 5 Ni 2.41-2.65
Ni9 0.5422 0.4570 0.7895  4 Zn 2.39-2.56, 5 Ni 2.41-2.65
Ni10 0.0393 0.1351 0.3593  1 Si 2.32, 4 Ni 2.41-2.52, 4 Zn 2.51-2.59
Ni11 0.9607 0.8649 0.6407  1 Si 2.32, 4 Ni 2.41-2.52, 4 Zn 2.51-2.59
Ni12 0.8649 0.6407 0.9607  1 Si 2.32, 4 Ni 2.41-2.52, 4 Zn 2.51-2.59
Zn1 0.2929 0.1211 0.7306  8 Ni 2.39-2.59, 1 Si 2.60
Zn2 0.7306 0.2929 0.1211  8 Ni 2.39-2.59, 1 Si 2.60
Zn3 0.7071 0.8789 0.2694  8 Ni 2.39-2.59, 1 Si 2.60
Zn4 0.2694 0.7071 0.8789  8 Ni 2.39-2.59, 1 Si 2.60
Zn5 0.8789 0.2694 0.7071  8 Ni 2.39-2.59, 1 Si 2.60
Zn6 0.1211 0.7306 0.2929  8 Ni 2.39-2.59, 1 Si 2.60
Si1 0.0000 0.0000 0.0000  6 Ni 2.32

**Formation energy without anion corrections**: -0.07 eV/atom
**Magnetic moment**: 0.0 μB/f.u.
**Raw total energy**: -4.405 eV per atom
**Crystal system**: trigonal


Material: HgOs3
Method: DFT, PBE
State: optimized geometry

Cell: 2.8153 2.8153 9.1969 Å, 90.00 90.00 120.00°
With the nearest neighbours (Å) after each atom.
Fractional coordinates of all 4 atoms:
Hg1 0.0000 0.0000 0.0000  6 Hg 2.82, 6 Os 3.00
Os1 0.0000 0.0000 0.5000  12 Os 2.63-2.82
Os2 0.3333 0.6667 0.2745  9 Os 2.63-2.82
Os3 0.3333 0.6667 0.7255  9 Os 2.63-2.82

**Magnetic moment**: 0.0 μB/f.u.
**Excess energy over the best structure of this formula in the dataset**: 0 meV/atom
**Raw total energy**: -8.105 eV per atom
**E_form**: 0.3928 eV per atom
**Crystal system**: hexagonal


Material: Pm3Ag3IrO8
Method: DFT, PBE
State: optimized geometry

Cell: 6.9970 6.9955 6.9619 Å, 120.24 90.00 120.01°
With the nearest neighbours (Å) after each atom.
Fractional coordinates of all 15 atoms:
O1 0.7720 0.9828 0.6930  1 Ir 2.08
O2 0.2108 0.9828 0.6930  1 Ir 2.08
O3 0.7892 0.0172 0.3070  1 Ir 2.08
O4 0.2280 0.0172 0.3070  1 Ir 2.08
O5 0.2692 0.5385 0.3083  3 Pm 2.29
O6 0.7892 0.5784 0.3071  1 Ir 2.08
O7 0.2108 0.4216 0.6929  1 Ir 2.08
O8 0.7308 0.4615 0.6917  3 Pm 2.29
Ag1 0.5000 0.5000 0.0000  6 O 2.58-2.67
Ag2 0.0000 0.0000 0.0000  6 O 2.58-2.67
Ag3 0.0000 0.5000 0.0000  6 O 2.58-2.67
Ir1 0.0000 0.0000 0.5000  6 O 2.08
Pm1 0.5000 0.0000 0.5000  6 O 2.29-2.42
Pm2 0.5000 0.5000 0.5000  6 O 2.29-2.42
Pm3 0.0000 0.5000 0.5000  6 O 2.29-2.42

**Formation energy without anion corrections**: -1.67 eV/atom
**Magnetic moment**: 1.1 μB/f.u.
**Raw total energy**: -6.426 eV per atom
**Crystal system**: trigonal


Material: Sm4TmS7
Method: DFT, PBE
State: optimized geometry

Cell: 3.8782 6.8187 11.7593 Å, 104.39 90.00 106.52°
With the nearest neighbours (Å) after each atom.
Fractional coordinates of all 12 atoms:
Sm1 0.1115 0.2229 0.4242  6 S 2.73-2.87
Sm2 0.6988 0.3977 0.8083  7 S 2.81-3.03
Sm3 0.3010 0.6020 0.1917  7 S 2.80-3.03
Sm4 0.9993 0.9986 0.9975  6 S 2.74-2.81
S1 0.4954 0.9908 0.5035  2 Tm 2.67, 2 Sm 2.77
S2 0.6598 0.3195 0.0511  5 Sm 2.81-3.03
S3 0.2667 0.5335 0.6467  2 Tm 2.75, 3 Sm 2.87-3.01
S4 0.9593 0.9187 0.2151  4 Sm 2.73-2.80
S5 0.3387 0.6775 0.9480  5 Sm 2.81-3.03
S6 0.0386 0.0771 0.7789  1 Tm 2.66, 3 Sm 2.75-2.81
S7 0.7431 0.4863 0.3572  1 Tm 2.79, 4 Sm 2.84-2.98
Tm1 0.8877 0.7754 0.5778  6 S 2.66-2.79

**Formation energy without anion corrections**: -2.07 eV/atom
**Magnetic moment**: 0.0 μB/f.u.
**Raw total energy**: -6.422 eV per atom
**Crystal system**: monoclinic


Material: MoOs2
Method: DFT, PBE
State: optimized geometry

Cell: 2.7588 5.2501 6.5517 Å, 76.52 90.00 74.77°
With the nearest neighbours (Å) after each atom.
Fractional coordinates of all 6 atoms:
Mo1 0.6083 0.7833 0.7250  9 Os 2.68-2.81, 3 Mo 2.76-2.80
Mo2 0.6694 0.6611 0.3305  9 Os 2.68-2.81, 3 Mo 2.76-2.80
Os1 0.2815 0.4370 0.0538  8 Os 2.67-2.83, 4 Mo 2.73-2.79
Os2 0.9963 0.0074 0.0018  8 Os 2.67-2.83, 4 Mo 2.73-2.79
Os3 0.3374 0.3252 0.6659  5 Mo 2.68-2.81, 7 Os 2.68-2.76
Os4 0.9404 0.1192 0.3896  5 Mo 2.68-2.81, 7 Os 2.68-2.76

**Magnetic moment**: 0.0 μB/f.u.
**Excess energy over the best structure of this formula in the dataset**: 0 meV/atom
**Raw total energy**: -11.116 eV per atom
**E_form**: -0.0190 eV per atom
**Crystal system**: monoclinic